Material: MnSb3F
Method: DFT, PBE+U
State: relaxed

The structure in POSCAR format:
```
MnSb3F
1.0
4.926 0.000 0.000
0.000 4.926 0.000
0.000 0.000 4.926
Mn F Sb
1 1 3
Cartesian
2.463 2.463 2.463
0.000 0.000 0.000
2.463 0.000 0.000
0.000 2.463 0.000
0.000 0.000 2.463
```

- Space group: Pm-3m, No. 221
- Total DFT energy (no corrections): -4.318 eV per atom
- ΔE to the lowest computed polymorph: 0.0000 eV/atom
- Density of states at the Fermi level: 0.607 states/eV per atom